Entry 1:
PBE Ho2B, optimized geometry; ΔE to the lowest computed polymorph = 0.0 meV per atom; electronic total energy = -4.12 eV per atom; spin magnetization = 0.00 μB per formula unit
1.0
3.8837 2.2422 6.3420
-3.8837 2.2422 6.3420
0.0000 -4.4845 6.3420
Ho B
4 2
Cartesian
1.9418 1.1211 10.3057 Ho
-1.9418 1.1211 10.3057 Ho
0.0000 0.0000 7.1347 Ho
0.0000 -2.2422 10.3057 Ho
0.0000 0.0000 9.5130 B
0.0000 0.0000 4.7565 B

Entry 2:
PBE NiAgSbPt, optimized geometry; electronic total energy = -4.69 eV per atom; spin magnetization = 0.00 μB per formula unit
1.0
0.0000 3.2113 3.2113
3.2113 0.0000 3.2113
3.2113 3.2113 0.0000
Pt Sb Ni Ag
1 1 1 1
Cartesian
1.6056 1.6056 1.6056 Pt
0.0000 0.0000 0.0000 Sb
4.8169 4.8169 4.8169 Ni
3.2113 3.2113 3.2113 Ag

Entry 3:
PBE Gd2ErAl3AgGe2, optimized geometry; electronic total energy = -4.75 eV per atom; spin magnetization = 0.00 μB per formula unit
1.0
4.2858 0.0000 0.0000
0.0000 6.1119 3.5408
0.0000 -6.1119 3.5408
Gd Er Al Ge Ag
2 1 3 2 1
Cartesian
0.0000 -2.5224 5.6117 Gd
0.0000 2.5224 5.6117 Gd
0.0000 0.0000 2.9242 Er
2.1429 1.4617 0.8497 Al
2.1429 -1.4617 0.8497 Al
2.1429 0.0000 5.3861 Al
2.1429 -2.0110 3.5302 Ge
2.1429 2.0110 3.5302 Ge
0.0000 0.0000 0.0332 Ag

Entry 4:
PBE NaHfAgS3, optimized geometry; ΔE to the lowest computed polymorph = 0.0 meV per atom; electronic total energy = -5.52 eV per atom; spin magnetization = 0.01 μB per formula unit
1.0
-11.8401 4.3781 -3.2051
-0.7347 -3.2595 -1.7384
-3.8135 -3.8496 8.8295
S Na Hf Ag
12 4 4 4
Cartesian
-4.8262 -3.2007 6.0007 S
-7.9400 1.2987 -1.1196 S
-9.3017 -1.5029 0.6285 S
-8.4483 -4.0297 5.0056 S
-1.9619 -2.2588 -1.0560 S
-5.8707 -1.9502 0.0173 S
-10.5176 -0.7808 3.8687 S
-14.4264 -0.4722 4.9419 S
-13.5556 -1.0203 1.5214 S
-7.0867 -1.2281 3.2575 S
-2.8327 -1.7107 2.3646 S
-11.5621 0.4697 -2.1147 S
-12.9271 -2.9779 4.9263 Na
-11.0703 0.7309 1.2678 Na
-5.3180 -3.4620 2.6182 Na
-3.4612 0.2469 -1.0403 Na
-12.5241 2.8631 -2.1156 Hf
-3.8643 -5.5941 6.0016 Hf
-9.1610 -2.7759 2.9559 Hf
-7.2273 0.0449 0.9301 Hf
-13.6555 0.2636 -0.8437 Ag
-2.7328 -2.9946 4.7296 Ag
-6.5428 -0.7216 -2.0024 Ag
-9.8455 -2.0095 5.8883 Ag

electronic total energy of number 4 (NaHfAgS3)? -5.52 eV per atom